Entry from Alexandria: an optimized crystal structure of LiAl4Ga (PBE).

It has space group Cmmm (No. 65), with a = 5.8195 Å, b = 5.8974 Å, c = 6.4879 Å, α = 90.00°, β = 90.00° and γ = 90.00°. The distinct sites, in fractional coordinates, are Li at (0.0000, 0.0000, 0.0000), Al at (0.2500, 0.2500, 0.2400) and Ga at (0.0000, 0.5000, 0.5000).

As for the energy relative to the elements: 128 meV/atom. The calculation puts the energy relative to the lowest polymorph listed for this composition at 204.0 meV/atom. The density of states at the Fermi level comes out at 0.356 states/eV per atom.